Entry 1:
ZrTi2H | PBE-GGA | optimized geometry

Values from the calculation:
ΔE to the lowest computed polymorph, meV/atom: 155

```
data_ZrTi2H
_space_group_name_H-M_alt 'R -3 m'
_space_group_IT_number 166
_space_group_name_Hall '-R 3 2"'
_cell_length_a 2.9537
_cell_length_b 2.9537
_cell_length_c 23.8216
_cell_angle_alpha 90.00
_cell_angle_beta 90.00
_cell_angle_gamma 120.00
loop_
_atom_site_label
_atom_site_fract_x
_atom_site_fract_y
_atom_site_fract_z
Zr1 0.0000 0.0000 0.0000
Ti1 0.0000 0.0000 0.1169
H1 0.0000 0.0000 0.5000
```

=====

Entry 2:
AlCr3W | PBE-GGA | optimized geometry

Values from the calculation:
ΔE to the lowest computed polymorph, meV/atom: 76
ΔE_f, eV per atom: 1.5777

```
data_AlCr3W
_space_group_name_H-M_alt 'P m -3 m'
_space_group_IT_number 221
_space_group_name_Hall '-P 4 2 3'
_cell_length_a 4.2680
_cell_length_b 4.2680
_cell_length_c 4.2680
_cell_angle_alpha 90.00
_cell_angle_beta 90.00
_cell_angle_gamma 90.00
loop_
_atom_site_label
_atom_site_fract_x
_atom_site_fract_y
_atom_site_fract_z
Al1 0.0000 0.0000 0.0000
Cr1 0.0000 0.0000 0.5000
W1 0.5000 0.5000 0.5000
```

=====

Entry 3:
Ce2TcBr2 | PBE-GGA | optimized geometry

Values from the calculation:
Raw formation energy, meV/atom: -962

```
data_Ce2TcBr2
_space_group_name_H-M_alt 'C 1 2/m 1'
_space_group_IT_number 12
_cell_length_a 22.6654
_cell_length_b 4.2855
_cell_length_c 6.5583
_cell_angle_alpha 90.00
_cell_angle_beta 104.82
_cell_angle_gamma 90.00
loop_
_space_group_symop_operation_xyz
'x,y,z'
'-x,-y,-z'
'-x,y,-z'
'x,-y,z'
'x+1/2,y+1/2,z'
'-x+1/2,-y+1/2,-z'
'-x+1/2,y+1/2,-z'
'x+1/2,-y+1/2,z'
loop_
_atom_site_label
_atom_site_fract_x
_atom_site_fract_y
_atom_site_fract_z
Ce1 0.1602 0.0000 0.4881
Ce2 0.1847 0.5000 0.0353
Tc1 0.2454 0.0000 0.3578
Br1 0.0777 0.5000 0.2470
Br2 0.0897 0.0000 0.8002
```